Computed, not measured: a geometry-optimized CuSn2O2 structure at the PBE level of DFT.

Properties
Theoretical density, kg/m3: 5699
Formation energy without anion corrections, eV per atom: -0.43

Lattice parameters (Å, degrees): 7.476 7.476 3.471 90.00 90.00 90.00
Sites, in units of the cell vectors:
O1 0.137 0.637 0.500
O2 0.637 0.863 0.500
O3 0.863 0.363 0.500
O4 0.363 0.137 0.500
Sn1 0.242 0.742 0.000
Sn2 0.742 0.758 0.000
Sn3 0.758 0.258 0.000
Sn4 0.258 0.242 0.000
Cu1 0.000 0.000 0.000
Cu2 0.500 0.500 0.000

---

Computed, not measured: a geometry-optimized Ca2BiPtO6 structure at the PBE level of DFT.

Properties
Theoretical density, kg/m3: 7096
Formation energy without anion corrections, eV per atom: -1.68

Lattice parameters (Å, degrees): 5.660 5.905 8.126 90.00 91.11 90.00
Sites, in units of the cell vectors:
Ca1 0.023 0.937 0.249
Ca2 0.523 0.563 0.749
Ca3 0.977 0.063 0.751
Ca4 0.477 0.437 0.251
Bi1 0.500 0.000 0.000
Bi2 0.000 0.500 0.500
Pt1 0.500 0.000 0.500
Pt2 0.000 0.500 0.000
O1 0.287 0.690 0.066
O2 0.787 0.810 0.566
O3 0.713 0.310 0.934
O4 0.213 0.190 0.434
O5 0.320 0.716 0.428
O6 0.820 0.784 0.928
O7 0.680 0.284 0.572
O8 0.180 0.216 0.072
O9 0.873 0.556 0.231
O10 0.373 0.944 0.731
O11 0.127 0.444 0.769
O12 0.627 0.056 0.269